# 1
# Cd2In (SCAN, PBEsol geometry)
# Calculated formation energy: 0.3 eV per formula unit
data_Cd2In
_chemical_formula_sum 'Cd8 In4'
_cell_length_a 3.174
_cell_length_b 4.871
_cell_length_c 18.905
_cell_angle_alpha 90.00
_cell_angle_beta 90.00
_cell_angle_gamma 90.00
_space_group_name_H-M_alt 'I m m a'
_space_group_IT_number 74
_space_group_name_Hall '-I 2b 2'
loop_
_atom_site_label
_atom_site_type_symbol
_atom_site_fract_x
_atom_site_fract_y
_atom_site_fract_z
Cd1 Cd 0.000 0.250 0.036
Cd2 Cd 0.000 0.250 0.187
In1 In 0.000 0.250 0.620

***

# 2
# FeCu2Mo (SCAN, PBEsol geometry)
# Calculated formation energy: 0.9 eV per formula unit
# Distance to the lowest polymorph of the same formula: 0.0 meV per atom
data_FeCu2Mo
_chemical_formula_sum 'Fe1 Cu2 Mo1'
_cell_length_a 2.951
_cell_length_b 2.951
_cell_length_c 5.617
_cell_angle_alpha 90.00
_cell_angle_beta 90.00
_cell_angle_gamma 90.00
_space_group_name_H-M_alt 'P 4 m m'
_space_group_IT_number 99
loop_
_space_group_symop_operation_xyz
'x,y,z'
'-y,x,z'
'-x,-y,z'
'y,-x,z'
'-x,y,z'
'y,x,z'
'x,-y,z'
'-y,-x,z'
loop_
_atom_site_label
_atom_site_type_symbol
_atom_site_fract_x
_atom_site_fract_y
_atom_site_fract_z
Fe1 Fe 0.000 0.000 0.000
Cu1 Cu 0.000 0.000 0.529
Cu2 Cu 0.500 0.500 0.749
Mo1 Mo 0.500 0.500 0.235

***

# 3
# CaAgPt3 (SCAN, PBEsol geometry)
# Calculated formation energy: 7.0 eV per formula unit
data_CaAgPt3
_chemical_formula_sum 'Ca1 Ag1 Pt3'
_cell_length_a 4.807
_cell_length_b 4.807
_cell_length_c 4.807
_cell_angle_alpha 90.00
_cell_angle_beta 90.00
_cell_angle_gamma 90.00
_space_group_name_H-M_alt 'P m -3 m'
_space_group_IT_number 221
_space_group_name_Hall '-P 4 2 3'
loop_
_atom_site_label
_atom_site_type_symbol
_atom_site_fract_x
_atom_site_fract_y
_atom_site_fract_z
Ca1 Ca 0.000 0.000 0.000
Ag1 Ag 0.500 0.500 0.500
Pt1 Pt 0.000 0.000 0.500

***

Q: Which of these has the lowest calculated formation energy?
A: Cd2In